Record 1
First-principles (PBE-GGA) data for crystalline TcOsSe2 at its relaxed geometry, as listed in Alexandria via LeMat-Bulk.

Geometry as CIF:
```
data_TcOsSe2
_chemical_formula_sum 'Tc1 Os1 Se2'
_symmetry_space_group_name_H-M 'P m m m'
_symmetry_Int_Tables_number 47
_symmetry_space_group_name_Hall '-P 2 2'
_cell_length_a 2.9711
_cell_length_b 4.1625
_cell_length_c 5.3659
_cell_angle_alpha 90.00
_cell_angle_beta 90.00
_cell_angle_gamma 90.00
loop_
_atom_site_label
_atom_site_type_symbol
_atom_site_fract_x
_atom_site_fract_y
_atom_site_fract_z
Tc1 Tc 0.0000 0.0000 0.0000
Os1 Os 0.5000 0.0000 0.5000
Se1 Se 0.0000 0.5000 0.5000
Se2 Se 0.5000 0.5000 0.0000
```

Summary:
The value obtained for the raw total energy is -6.2657 eV per atom. As for the density of states at the Fermi level: 1.246 states/eV per atom. Its total moment is 0.00 μB/f.u. The calculation puts the volume at 16.59 Å³/atom. The calculation puts the raw formation energy at 875 meV/atom.

---

Record 2
First-principles (PBE-GGA) data for crystalline TcOs2Se at its relaxed geometry, as listed in Alexandria via LeMat-Bulk.

Geometry as CIF:
```
data_TcOs2Se
_chemical_formula_sum 'Tc1 Os2 Se1'
_symmetry_space_group_name_H-M 'P 4/m m m'
_symmetry_Int_Tables_number 123
_symmetry_space_group_name_Hall '-P 4 2'
_cell_length_a 4.5820
_cell_length_b 4.5820
_cell_length_c 2.8807
_cell_angle_alpha 90.00
_cell_angle_beta 90.00
_cell_angle_gamma 90.00
loop_
_atom_site_label
_atom_site_type_symbol
_atom_site_fract_x
_atom_site_fract_y
_atom_site_fract_z
Tc1 Tc 0.0000 0.0000 0.0000
Os1 Os 0.0000 0.5000 0.5000
Se1 Se 0.5000 0.5000 0.0000
```

Summary:
The value obtained for the raw total energy is -8.2924 eV per atom. As for the density of states at the Fermi level: 1.234 states/eV per atom. Its total moment is 0.00 μB/f.u. The calculation puts the volume at 15.12 Å³/atom. The calculation puts the raw formation energy at 785 meV/atom.

---

Record 3
First-principles (PBE-GGA) data for crystalline TcOsSe2 at its relaxed geometry, as listed in Alexandria via LeMat-Bulk.

Geometry as CIF:
```
data_TcOsSe2
_chemical_formula_sum 'Tc3 Os3 Se6'
_symmetry_space_group_name_H-M 'R 3 m'
_symmetry_Int_Tables_number 160
_symmetry_space_group_name_Hall 'R 3 -2"'
_cell_length_a 3.0239
_cell_length_b 3.0239
_cell_length_c 29.1826
_cell_angle_alpha 90.00
_cell_angle_beta 90.00
_cell_angle_gamma 120.00
loop_
_atom_site_label
_atom_site_type_symbol
_atom_site_fract_x
_atom_site_fract_y
_atom_site_fract_z
Tc1 Tc 0.0000 0.0000 0.0000
Os1 Os 0.0000 0.0000 0.7437
Se1 Se 0.0000 0.0000 0.2735
Se2 Se 0.0000 0.0000 0.4711
```

Summary:
The value obtained for the raw total energy is -7.0032 eV per atom. As for the density of states at the Fermi level: 0.758 states/eV per atom. Its total moment is 0.00 μB/f.u. The calculation puts the volume at 19.26 Å³/atom. The calculation puts the raw formation energy at 138 meV/atom.

---

Record 4
First-principles (PBE-GGA) data for crystalline TcOsSe2 at its relaxed geometry, as listed in Alexandria via LeMat-Bulk.

Geometry as CIF:
```
data_TcOsSe2
_chemical_formula_sum 'Tc2 Os2 Se4'
_symmetry_space_group_name_H-M 'C m m m'
_symmetry_Int_Tables_number 65
_symmetry_space_group_name_Hall '-C 2 2'
_cell_length_a 2.9798
_cell_length_b 5.3212
_cell_length_c 8.3434
_cell_angle_alpha 90.00
_cell_angle_beta 90.00
_cell_angle_gamma 90.00
loop_
_atom_site_label
_atom_site_type_symbol
_atom_site_fract_x
_atom_site_fract_y
_atom_site_fract_z
Tc1 Tc 0.0000 0.0000 0.0000
Os1 Os 0.0000 0.0000 0.5000
Se1 Se 0.0000 0.5000 0.2474
```

Summary:
The value obtained for the raw total energy is -6.2435 eV per atom. As for the density of states at the Fermi level: 1.391 states/eV per atom. Its total moment is 0.00 μB/f.u. The calculation puts the volume at 16.54 Å³/atom. The calculation puts the raw formation energy at 898 meV/atom.

---

Record 5
First-principles (PBE-GGA) data for crystalline TcOsSe2 at its relaxed geometry, as listed in Alexandria via LeMat-Bulk.

Geometry as CIF:
```
data_TcOsSe2
_chemical_formula_sum 'Tc1 Os1 Se2'
_symmetry_space_group_name_H-M 'P 1 2/m 1'
_symmetry_Int_Tables_number 10
_symmetry_space_group_name_Hall '-P 2y'
_cell_length_a 2.6061
_cell_length_b 4.2544
_cell_length_c 6.1169
_cell_angle_alpha 90.00
_cell_angle_beta 90.44
_cell_angle_gamma 90.00
loop_
_atom_site_label
_atom_site_type_symbol
_atom_site_fract_x
_atom_site_fract_y
_atom_site_fract_z
Tc1 Tc 0.0000 0.0000 0.0000
Os1 Os 0.0000 0.0000 0.5000
Se1 Se 0.0018 0.5000 0.7503
```

Summary:
The value obtained for the raw total energy is -6.4076 eV per atom. As for the density of states at the Fermi level: 1.055 states/eV per atom. Its total moment is 0.00 μB/f.u. The calculation puts the volume at 16.95 Å³/atom. The calculation puts the raw formation energy at 734 meV/atom.

---

Record 6
First-principles (PBE-GGA) data for crystalline TcOs2Se at its relaxed geometry, as listed in Alexandria via LeMat-Bulk.

Geometry as CIF:
```
data_TcOs2Se
_chemical_formula_sum 'Tc2 Os4 Se2'
_symmetry_space_group_name_H-M 'I m m 2'
_symmetry_Int_Tables_number 44
_symmetry_space_group_name_Hall 'I 2 -2'
_cell_length_a 2.9369
_cell_length_b 4.4596
_cell_length_c 8.9916
_cell_angle_alpha 90.00
_cell_angle_beta 90.00
_cell_angle_gamma 90.00
loop_
_atom_site_label
_atom_site_type_symbol
_atom_site_fract_x
_atom_site_fract_y
_atom_site_fract_z
Tc1 Tc 0.0000 0.0000 0.0000
Os1 Os 0.0000 0.0000 0.5481
Os2 Os 0.0000 0.5000 0.7749
Se1 Se 0.0000 0.5000 0.2745
```

Summary:
The value obtained for the raw total energy is -8.5376 eV per atom. As for the density of states at the Fermi level: 0.870 states/eV per atom. Its total moment is 0.00 μB/f.u. The calculation puts the volume at 14.72 Å³/atom. The calculation puts the raw formation energy at 540 meV/atom.

---

Record 7
First-principles (PBE-GGA) data for crystalline TcOsSe2 at its relaxed geometry, as listed in Alexandria via LeMat-Bulk.

Geometry as CIF:
```
data_TcOsSe2
_chemical_formula_sum 'Tc2 Os2 Se4'
_symmetry_space_group_name_H-M 'I -4 m 2'
_symmetry_Int_Tables_number 119
_symmetry_space_group_name_Hall 'I -4 -2'
_cell_length_a 3.9929
_cell_length_b 3.9929
_cell_length_c 8.0216
_cell_angle_alpha 90.00
_cell_angle_beta 90.00
_cell_angle_gamma 90.00
loop_
_atom_site_label
_atom_site_type_symbol
_atom_site_fract_x
_atom_site_fract_y
_atom_site_fract_z
Tc1 Tc 0.0000 0.0000 0.0000
Os1 Os 0.0000 0.5000 0.7500
Se1 Se 0.0000 0.0000 0.5000
Se2 Se 0.0000 0.5000 0.2500
```

Summary:
The value obtained for the raw total energy is -6.3261 eV per atom. As for the density of states at the Fermi level: 1.326 states/eV per atom. Its total moment is 0.00 μB/f.u. The calculation puts the volume at 15.99 Å³/atom. The calculation puts the raw formation energy at 815 meV/atom.

---

Record 8
First-principles (PBE-GGA) data for crystalline TcOs3Se at its relaxed geometry, as listed in Alexandria via LeMat-Bulk.

Geometry as CIF:
```
data_TcOs3Se
_chemical_formula_sum 'Tc1 Os3 Se1'
_symmetry_space_group_name_H-M 'P m -3 m'
_symmetry_Int_Tables_number 221
_symmetry_space_group_name_Hall '-P 4 2 3'
_cell_length_a 4.6826
_cell_length_b 4.6826
_cell_length_c 4.6826
_cell_angle_alpha 90.00
_cell_angle_beta 90.00
_cell_angle_gamma 90.00
loop_
_atom_site_label
_atom_site_type_symbol
_atom_site_fract_x
_atom_site_fract_y
_atom_site_fract_z
Tc1 Tc 0.0000 0.0000 0.0000
Os1 Os 0.0000 0.0000 0.5000
Se1 Se 0.5000 0.5000 0.5000
```

Summary:
The value obtained for the raw total energy is -7.1314 eV per atom. As for the density of states at the Fermi level: 2.023 states/eV per atom. Its total moment is 0.00 μB/f.u. The calculation puts the volume at 20.53 Å³/atom. The calculation puts the raw formation energy at 2377 meV/atom.

---

Record 9
First-principles (PBE-GGA) data for crystalline TcOs2Se at its relaxed geometry, as listed in Alexandria via LeMat-Bulk.

Geometry as CIF:
```
data_TcOs2Se
_chemical_formula_sum 'Tc2 Os4 Se2'
_symmetry_space_group_name_H-M 'C m m m'
_symmetry_Int_Tables_number 65
_symmetry_space_group_name_Hall '-C 2 2'
_cell_length_a 2.8031
_cell_length_b 4.7201
_cell_length_c 9.4625
_cell_angle_alpha 90.00
_cell_angle_beta 90.00
_cell_angle_gamma 90.00
loop_
_atom_site_label
_atom_site_type_symbol
_atom_site_fract_x
_atom_site_fract_y
_atom_site_fract_z
Tc1 Tc 0.0000 0.0000 0.0000
Os1 Os 0.0000 0.5000 0.2355
Se1 Se 0.0000 0.0000 0.5000
```

Summary:
The value obtained for the raw total energy is -8.3004 eV per atom. As for the density of states at the Fermi level: 1.140 states/eV per atom. Its total moment is 0.00 μB/f.u. The calculation puts the volume at 15.65 Å³/atom. The calculation puts the raw formation energy at 777 meV/atom.

---

Record 10
First-principles (PBE-GGA) data for crystalline Tc2OsSe5 at its relaxed geometry, as listed in Alexandria via LeMat-Bulk.

Geometry as CIF:
```
data_Tc2OsSe5
_chemical_formula_sum 'Tc4 Os2 Se10'
_symmetry_space_group_name_H-M 'C 1 m 1'
_symmetry_Int_Tables_number 8
_symmetry_space_group_name_Hall 'C -2y'
_cell_length_a 11.7368
_cell_length_b 7.0825
_cell_length_c 5.6573
_cell_angle_alpha 90.00
_cell_angle_beta 114.96
_cell_angle_gamma 90.00
loop_
_atom_site_label
_atom_site_type_symbol
_atom_site_fract_x
_atom_site_fract_y
_atom_site_fract_z
Tc1 Tc 0.0000 0.0000 0.0000
Tc2 Tc 0.1169 0.5000 0.5997
Os1 Os 0.1220 0.5000 0.0993
Se1 Se 0.1376 0.2256 0.3639
Se2 Se 0.3018 0.5000 0.9981
Se3 Se 0.4722 0.2121 0.7397
```

Summary:
The value obtained for the raw total energy is -6.0440 eV per atom. As for the density of states at the Fermi level: 0.763 states/eV per atom. Its total moment is 0.00 μB/f.u. The calculation puts the volume at 26.65 Å³/atom. The calculation puts the raw formation energy at 129 meV/atom.

---

Record 11
First-principles (PBE-GGA) data for crystalline TcOs2Se at its relaxed geometry, as listed in Alexandria via LeMat-Bulk.

Geometry as CIF:
```
data_TcOs2Se
_chemical_formula_sum 'Tc1 Os2 Se1'
_symmetry_space_group_name_H-M 'P 4/m m m'
_symmetry_Int_Tables_number 123
_symmetry_space_group_name_Hall '-P 4 2'
_cell_length_a 2.8906
_cell_length_b 2.8906
_cell_length_c 7.1381
_cell_angle_alpha 90.00
_cell_angle_beta 90.00
_cell_angle_gamma 90.00
loop_
_atom_site_label
_atom_site_type_symbol
_atom_site_fract_x
_atom_site_fract_y
_atom_site_fract_z
Tc1 Tc 0.0000 0.0000 0.0000
Os1 Os 0.5000 0.5000 0.2495
Se1 Se 0.0000 0.0000 0.5000
```

Summary:
The value obtained for the raw total energy is -8.6222 eV per atom. As for the density of states at the Fermi level: 0.992 states/eV per atom. Its total moment is 0.00 μB/f.u. The calculation puts the volume at 14.91 Å³/atom. The calculation puts the raw formation energy at 455 meV/atom.

---

Record 12
First-principles (PBE-GGA) data for crystalline Tc3OsSe at its relaxed geometry, as listed in Alexandria via LeMat-Bulk.

Geometry as CIF:
```
data_Tc3OsSe
_chemical_formula_sum 'Tc3 Os1 Se1'
_symmetry_space_group_name_H-M 'P m -3 m'
_symmetry_Int_Tables_number 221
_symmetry_space_group_name_Hall '-P 4 2 3'
_cell_length_a 4.4560
_cell_length_b 4.4560
_cell_length_c 4.4560
_cell_angle_alpha 90.00
_cell_angle_beta 90.00
_cell_angle_gamma 90.00
loop_
_atom_site_label
_atom_site_type_symbol
_atom_site_fract_x
_atom_site_fract_y
_atom_site_fract_z
Tc1 Tc 0.0000 0.0000 0.5000
Os1 Os 0.5000 0.5000 0.5000
Se1 Se 0.0000 0.0000 0.0000
```

Summary:
The value obtained for the raw total energy is -7.6156 eV per atom. As for the density of states at the Fermi level: 1.268 states/eV per atom. Its total moment is 2.02 μB/f.u. The calculation puts the volume at 17.70 Å³/atom. The calculation puts the raw formation energy at 1547 meV/atom.

---

Record 13
First-principles (PBE-GGA) data for crystalline TcOs2Se at its relaxed geometry, as listed in Alexandria via LeMat-Bulk.

Geometry as CIF:
```
data_TcOs2Se
_chemical_formula_sum 'Tc2 Os4 Se2'
_symmetry_space_group_name_H-M 'I -4 m 2'
_symmetry_Int_Tables_number 119
_symmetry_space_group_name_Hall 'I -4 -2'
_cell_length_a 4.0888
_cell_length_b 4.0888
_cell_length_c 7.1671
_cell_angle_alpha 90.00
_cell_angle_beta 90.00
_cell_angle_gamma 90.00
loop_
_atom_site_label
_atom_site_type_symbol
_atom_site_fract_x
_atom_site_fract_y
_atom_site_fract_z
Tc1 Tc 0.0000 0.0000 0.0000
Os1 Os 0.0000 0.0000 0.5000
Os2 Os 0.0000 0.5000 0.7500
Se1 Se 0.0000 0.5000 0.2500
```

Summary:
The value obtained for the raw total energy is -8.3552 eV per atom. As for the density of states at the Fermi level: 1.149 states/eV per atom. Its total moment is 0.00 μB/f.u. The calculation puts the volume at 14.98 Å³/atom. The calculation puts the raw formation energy at 722 meV/atom.

---

Record 14
First-principles (PBE-GGA) data for crystalline TcOs2Se at its relaxed geometry, as listed in Alexandria via LeMat-Bulk.

Geometry as CIF:
```
data_TcOs2Se
_chemical_formula_sum 'Tc4 Os8 Se4'
_symmetry_space_group_name_H-M 'I -4 2 d'
_symmetry_Int_Tables_number 122
_symmetry_space_group_name_Hall 'I -4 2bw'
_cell_length_a 5.6185
_cell_length_b 5.6185
_cell_length_c 10.7877
_cell_angle_alpha 90.00
_cell_angle_beta 90.00
_cell_angle_gamma 90.00
loop_
_atom_site_label
_atom_site_type_symbol
_atom_site_fract_x
_atom_site_fract_y
_atom_site_fract_z
Tc1 Tc 0.0000 0.0000 0.0000
Os1 Os 0.2487 0.2500 0.1250
Se1 Se 0.0000 0.0000 0.5000
```

Summary:
The value obtained for the raw total energy is -8.1294 eV per atom. As for the density of states at the Fermi level: 1.473 states/eV per atom. Its total moment is 0.00 μB/f.u. The calculation puts the volume at 21.28 Å³/atom. The calculation puts the raw formation energy at 948 meV/atom.

---

Record 15
First-principles (PBE-GGA) data for crystalline TcOsSe at its relaxed geometry, as listed in Alexandria via LeMat-Bulk.

Geometry as CIF:
```
data_TcOsSe
_chemical_formula_sum 'Tc1 Os1 Se1'
_symmetry_space_group_name_H-M 'P 3 m 1'
_symmetry_Int_Tables_number 156
_symmetry_space_group_name_Hall 'P 3 -2"'
_cell_length_a 4.1944
_cell_length_b 4.1944
_cell_length_c 2.9764
_cell_angle_alpha 90.00
_cell_angle_beta 90.00
_cell_angle_gamma 120.00
loop_
_atom_site_label
_atom_site_type_symbol
_atom_site_fract_x
_atom_site_fract_y
_atom_site_fract_z
Tc1 Tc 0.0000 0.0000 0.0000
Os1 Os 0.6667 0.3333 0.4893
Se1 Se 0.3333 0.6667 0.7069
```

Summary:
The value obtained for the raw total energy is -7.8922 eV per atom. As for the density of states at the Fermi level: 0.850 states/eV per atom. Its total moment is 0.00 μB/f.u. The calculation puts the volume at 15.12 Å³/atom. The calculation puts the raw formation energy at 468 meV/atom.